A geometry-optimized CdNiClF2 structure. Source: Alexandria via LeMat-Bulk, functional PBE+U.

**Symmetry**: No. 123
**Final energy**: -1.840 eV per atom
**Fermi-level density of states**: 0.77 states/eV per atom

Cell lengths 4.9244, 3.8925, 4.9244 Å; angles 90.00, 90.00, 90.00 degrees
Positions (direct):
Ni 0.0000 0.5000 0.0000
F 0.5000 0.0000 0.0000
Cd 0.5000 0.5000 0.5000
F 0.0000 0.0000 0.5000
Cl 0.0000 0.0000 0.0000